Entry from Alexandria: TiMn2GaO6 after structural relaxation (GGA+U).

It has space group P1 (No. 1), with a = 5.047 Å, b = 5.051 Å, c = 5.456 Å, α = 62.71°, β = 62.53° and γ = 60.25°. The distinct sites, in fractional coordinates, are Ti at (0.000, 0.000, 0.000), Mn at (0.199, 0.204, 0.392), Mn at (0.704, 0.711, 0.875), Ga at (0.499, 0.502, 0.497), O at (0.120, 0.809, 0.670), O at (0.282, 0.612, 0.180), O at (0.397, 0.125, 0.672), O at (0.612, 0.919, 0.181), O at (0.801, 0.400, 0.675) and O at (0.918, 0.290, 0.180).

As for the total energy: -7.27 eV/atom.